The following is a DFT calculation (PBEsol) of a relaxed BaBrCl2 crystal. Values from VASP.

```
&SYSTEM
  ibrav = 0, nat = 4, ntyp = 3
/
ATOMIC_SPECIES
Ba 137.33 Ba.upf
Br 79.90 Br.upf
Cl 35.45 Cl.upf
ATOMIC_POSITIONS crystal
Ba 0.500 0.500 0.500
Br 0.500 0.000 0.000
Cl 0.000 0.000 0.500
Cl 0.000 0.500 0.000
CELL_PARAMETERS angstrom
-1.822 -3.989 -0.104
3.531 -1.535 -3.009
2.700 -1.334 3.848
```

Calculated values
Spin magnetization   0.44 μB per cell
Energy relative to the lowest polymorph listed for this composition   116 meV/atom

=====

The following is a DFT calculation (PBEsol) of a relaxed YIr2SeI crystal. Values from VASP.

```
&SYSTEM
  ibrav = 0, nat = 5, ntyp = 4
/
ATOMIC_SPECIES
I 126.90 I.upf
Y 88.91 Y.upf
Ir 192.22 Ir.upf
Se 78.96 Se.upf
ATOMIC_POSITIONS crystal
I 0.500 0.500 0.500
Y 0.000 0.000 0.500
Ir 0.000 0.500 0.000
Ir 0.500 0.000 0.000
Se 0.000 0.000 0.000
CELL_PARAMETERS angstrom
4.598 0.000 0.000
0.000 4.598 0.000
0.000 0.000 5.423
```

Calculated values
Spin magnetization   0.04 μB per cell

=====

The following is a DFT calculation (PBEsol) of a relaxed NaSmP2S6 crystal. Values from VASP.

```
&SYSTEM
  ibrav = 0, nat = 40, ntyp = 4
/
ATOMIC_SPECIES
Na 22.99 Na.upf
Sm 150.36 Sm.upf
P 30.97 P.upf
S 32.06 S.upf
ATOMIC_POSITIONS crystal
Na 0.891 0.127 0.357
Na 0.609 0.627 0.357
Na 0.391 0.373 0.643
Na 0.109 0.873 0.643
Sm 0.610 0.088 0.845
Sm 0.890 0.588 0.845
Sm 0.110 0.412 0.155
Sm 0.390 0.912 0.155
P 0.383 0.254 0.306
P 0.617 0.746 0.694
P 0.883 0.246 0.694
P 0.117 0.754 0.306
P 0.397 0.748 0.826
P 0.897 0.752 0.174
P 0.103 0.248 0.826
P 0.603 0.252 0.174
S 0.189 0.438 0.910
S 0.508 0.842 0.593
S 0.296 0.128 0.716
S 0.704 0.872 0.284
S 0.318 0.649 0.191
S 0.311 0.938 0.910
S 0.182 0.149 0.191
S 0.476 0.315 0.048
S 0.976 0.185 0.952
S 0.204 0.628 0.716
S 0.492 0.158 0.407
S 0.682 0.351 0.809
S 0.689 0.062 0.090
S 0.300 0.443 0.383
S 0.200 0.943 0.383
S 0.818 0.851 0.809
S 0.796 0.372 0.284
S 0.800 0.057 0.617
S 0.524 0.685 0.952
S 0.700 0.557 0.617
S 0.811 0.562 0.090
S 0.024 0.815 0.048
S 0.008 0.658 0.407
S 0.992 0.342 0.593
CELL_PARAMETERS angstrom
-0.275 6.452 3.388
-3.746 -4.901 9.031
11.527 0.553 -0.118
```

Calculated values
Spin magnetization   0.00 μB per cell

=====

The following is a DFT calculation (PBEsol) of a relaxed KY2Al crystal. Values from VASP.

```
&SYSTEM
  ibrav = 0, nat = 4, ntyp = 3
/
ATOMIC_SPECIES
Y 88.91 Y.upf
K 39.10 K.upf
Al 26.98 Al.upf
ATOMIC_POSITIONS crystal
Y 0.000 0.000 0.000
Y 0.750 0.750 0.750
K 0.250 0.250 0.250
Al 0.500 0.500 0.500
CELL_PARAMETERS angstrom
5.491 0.000 0.000
2.745 4.755 0.000
2.745 1.585 4.483
```

Calculated values
Spin magnetization   0.00 μB per cell
Energy of formation   0.44 eV per atom

=====

The following is a DFT calculation (PBEsol) of a relaxed In2MoPAu crystal. Values from VASP.

```
&SYSTEM
  ibrav = 0, nat = 5, ntyp = 4
/
ATOMIC_SPECIES
P 30.97 P.upf
Mo 95.94 Mo.upf
Au 196.97 Au.upf
In 114.82 In.upf
ATOMIC_POSITIONS crystal
P 0.500 0.500 0.500
Mo 0.000 0.000 0.000
Au 0.500 0.000 0.000
In 0.000 0.000 0.500
In 0.000 0.500 0.000
CELL_PARAMETERS angstrom
4.858 0.000 0.000
0.000 5.215 0.000
0.000 0.000 5.215
```

Calculated values
Spin magnetization   1.69 μB per cell
Energy of formation   1.27 eV per atom

=====

The following is a DFT calculation (PBEsol) of a relaxed Be5Au crystal. Values from VASP.

```
&SYSTEM
  ibrav = 0, nat = 6, ntyp = 2
/
ATOMIC_SPECIES
Be 9.01 Be.upf
Au 196.97 Au.upf
ATOMIC_POSITIONS crystal
Be 0.625 0.625 0.126
Be 0.250 0.250 0.250
Be 0.625 0.625 0.625
Be 0.126 0.625 0.625
Be 0.625 0.126 0.625
Au 0.000 0.000 0.000
CELL_PARAMETERS angstrom
-3.938 0.090 -1.706
-2.009 -3.671 -0.956
-3.377 -1.268 2.327
```

Calculated values
Spin magnetization   0.00 μB per cell
Energy relative to the lowest polymorph listed for this composition   0 meV/atom
Energy of formation   -0.12 eV per atom

=====

The following is a DFT calculation (PBEsol) of a relaxed AlNiSbTe2 crystal. Values from VASP.

```
&SYSTEM
  ibrav = 0, nat = 5, ntyp = 4
/
ATOMIC_SPECIES
Sb 121.76 Sb.upf
Te 127.60 Te.upf
Al 26.98 Al.upf
Ni 58.69 Ni.upf
ATOMIC_POSITIONS crystal
Sb 0.500 0.000 0.000
Te 0.000 0.000 0.500
Te 0.000 0.500 0.000
Al 0.000 0.000 0.000
Ni 0.500 0.500 0.500
CELL_PARAMETERS angstrom
5.098 0.000 0.000
0.000 5.192 0.000
0.000 0.000 5.192
```

Calculated values
Spin magnetization   0.76 μB per cell

=====

The following is a DFT calculation (PBEsol) of a relaxed KBe2Re crystal. Values from VASP.

```
&SYSTEM
  ibrav = 0, nat = 4, ntyp = 3
/
ATOMIC_SPECIES
Re 186.21 Re.upf
K 39.10 K.upf
Be 9.01 Be.upf
ATOMIC_POSITIONS crystal
Re 0.000 0.000 0.000
K 0.500 0.500 0.500
Be 0.250 0.250 0.250
Be 0.750 0.750 0.750
CELL_PARAMETERS angstrom
-4.100 1.644 -0.215
-2.543 -0.853 -3.516
-3.486 -2.693 0.393
```

Calculated values
Spin magnetization   1.51 μB per cell
Energy relative to the lowest polymorph listed for this composition   124 meV/atom
Energy of formation   1.56 eV per atom

=====

The following is a DFT calculation (PBEsol) of a relaxed MgCo3Sb crystal. Values from VASP.

```
&SYSTEM
  ibrav = 0, nat = 5, ntyp = 3
/
ATOMIC_SPECIES
Sb 121.76 Sb.upf
Mg 24.30 Mg.upf
Co 58.93 Co.upf
ATOMIC_POSITIONS crystal
Sb 0.000 0.000 0.000
Mg 0.500 0.500 0.500
Co 0.000 0.500 0.000
Co 0.000 0.000 0.500
Co 0.500 0.000 0.000
CELL_PARAMETERS angstrom
4.576 0.000 0.000
0.000 4.576 0.000
0.000 0.000 4.576
```

Calculated values
Spin magnetization   3.26 μB per cell

=====

The following is a DFT calculation (PBEsol) of a relaxed Li2Pb crystal. Values from VASP.

```
&SYSTEM
  ibrav = 0, nat = 6, ntyp = 2
/
ATOMIC_SPECIES
Pb 207.20 Pb.upf
Li 6.94 Li.upf
ATOMIC_POSITIONS crystal
Pb 0.665 0.329 0.308
Pb 0.335 0.671 0.692
Li 0.664 0.327 0.810
Li 0.336 0.673 0.190
Li 0.000 0.000 0.500
Li 0.000 0.000 0.000
CELL_PARAMETERS angstrom
4.454 0.000 0.000
-2.227 4.720 -0.065
0.000 -1.958 5.638
```

Calculated values
Spin magnetization   0.00 μB per cell
Energy of formation   -0.30 eV per atom

=====

The following is a DFT calculation (PBEsol) of a relaxed HfMoW3 crystal. Values from VASP.

```
&SYSTEM
  ibrav = 0, nat = 5, ntyp = 3
/
ATOMIC_SPECIES
Mo 95.94 Mo.upf
Hf 178.49 Hf.upf
W 183.84 W.upf
ATOMIC_POSITIONS crystal
Mo 0.000 0.000 0.000
Hf 0.500 0.500 0.500
W 0.000 0.500 0.000
W 0.000 0.000 0.500
W 0.500 0.000 0.000
CELL_PARAMETERS angstrom
4.667 0.000 0.000
0.000 4.667 0.000
0.000 0.000 4.667
```

Calculated values
Spin magnetization   0.00 μB per cell
Energy of formation   1.78 eV per atom

=====

The following is a DFT calculation (PBEsol) of a relaxed RbLiSc2Tl crystal. Values from VASP.

```
&SYSTEM
  ibrav = 0, nat = 5, ntyp = 4
/
ATOMIC_SPECIES
Sc 44.96 Sc.upf
Tl 204.38 Tl.upf
Rb 85.47 Rb.upf
Li 6.94 Li.upf
ATOMIC_POSITIONS crystal
Sc 0.000 0.500 0.000
Sc 0.500 0.000 0.000
Tl 0.500 0.500 0.500
Rb 0.000 0.000 0.500
Li 0.000 0.000 0.000
CELL_PARAMETERS angstrom
5.281 0.000 0.000
0.000 5.281 0.000
0.000 0.000 5.322
```

Calculated values
Spin magnetization   2.42 μB per cell
Energy of formation   0.78 eV per atom

=====

no.,calculated total energy (eV/atom)
1,-3.602
2,-5.982
3,-5.388
4,-4.274
5,-4.217
6,-4.104
7,-3.432
8,-4.056
9,-4.882
10,-2.947
11,-10.956
12,-2.984